Entry from Alexandria via LeMat-Bulk: crystalline SrZrTc2 at its relaxed geometry (PBE).

Properties
**Spin magnetization**: 0.000 μB per formula unit
**Energy above the lowest structure with this stoichiometry**: 0.000 eV per formula unit
**Energy of formation from the pure elements**: 0.305 eV/atom

Structure (CIF):
```
data_SrZrTc2
_chemical_formula_sum 'Sr1 Zr1 Tc2'
_space_group_name_H-M_alt 'P 4 m m'
_space_group_IT_number 99
_cell_length_a 3.153
_cell_length_b 3.153
_cell_length_c 8.911
_cell_angle_alpha 90.00
_cell_angle_beta 90.00
_cell_angle_gamma 90.00
loop_
_space_group_symop_operation_xyz
'x,y,z'
'-y,x,z'
'-x,-y,z'
'y,-x,z'
'-x,y,z'
'y,x,z'
'x,-y,z'
'-y,-x,z'
loop_
_atom_site_label
_atom_site_type_symbol
_atom_site_fract_x
_atom_site_fract_y
_atom_site_fract_z
Sr1 Sr 0.000 0.000 0.000
Zr1 Zr 0.500 0.500 0.632
Tc1 Tc 0.000 0.000 0.420
Tc2 Tc 0.500 0.500 0.274
```